Na3Sn2Pb6 | PBE-GGA | optimized geometry

Unit cell a=6.782 b=6.753 c=15.134 alpha=90.00 beta=102.79 gamma=90.00
Space group C2/m (No. 12)
Symmetry-distinct sites (fractional):
Na1 0.000 0.000 0.000 (multiplicity 2)
Na2 0.165 0.000 0.332 (multiplicity 4)
Sn1 0.160 0.500 0.321 (multiplicity 4)
Pb1 0.000 0.250 0.500 (multiplicity 4)
Pb2 0.169 0.250 0.836 (multiplicity 8)

The calculation puts the total moment at 0.00 μB per cell. The calculation puts the formation energy at -0.07 eV/atom. Its total energy is -3.18 eV/atom.

Ga6AgRh | PBE-GGA | optimized geometry

Unit cell a=8.6487 b=8.6487 c=6.9994 alpha=90.00 beta=90.00 gamma=120.00
Space group R-3m (No. 166, hexagonal axes)
Symmetry-distinct sites (fractional):
Ga1 0.0371 0.5186 0.3133 (multiplicity 18)
Ag1 0.0000 0.0000 0.0000 (multiplicity 3)
Rh1 0.0000 0.0000 0.5000 (multiplicity 3)

The calculation puts the total moment at 0.00 μB per cell. The calculation puts the formation energy at -0.10 eV/atom. Its total energy is -3.65 eV/atom.

Pu2Tl2Cd | PBE-GGA | optimized geometry

Unit cell a=9.424 b=9.424 c=3.302 alpha=90.00 beta=90.00 gamma=90.00
Space group P4/mbm (No. 127)
Symmetry-distinct sites (fractional):
Pu1 0.125 0.375 0.000 (multiplicity 4)
Tl1 0.172 0.672 0.500 (multiplicity 4)
Cd1 0.000 0.000 0.000 (multiplicity 2)

The calculation puts the total moment at 23.65 μB per cell. The calculation puts the offset from the most stable computed form at 53 meV/atom. The calculation puts the formation energy at 0.19 eV/atom. Its total energy is -6.68 eV/atom.

B2HS | PBE-GGA | optimized geometry

Unit cell a=4.938 b=4.938 c=4.938 alpha=90.00 beta=90.00 gamma=90.00
Space group Fm-3m (No. 225)
Symmetry-distinct sites (fractional):
B1 0.250 0.250 0.250 (multiplicity 8)
H1 0.000 0.000 0.000 (multiplicity 4)
S1 0.000 0.000 0.500 (multiplicity 4)

The calculation puts the total moment at 0.00 μB per cell. The calculation puts the offset from the most stable computed form at 550 meV/atom. Its total energy is -3.54 eV/atom.

PSICl2 | PBE-GGA | optimized geometry

Unit cell a=4.625 b=4.625 c=5.408 alpha=90.00 beta=90.00 gamma=90.00
Space group P4/mmm (No. 123)
Symmetry-distinct sites (fractional):
P1 0.000 0.000 0.000 (multiplicity 1)
S1 0.000 0.000 0.500 (multiplicity 1)
I1 0.500 0.500 0.500 (multiplicity 1)
Cl1 0.000 0.500 0.000 (multiplicity 2)

For the uncorrected formation energy, the calculation gives 0.2315 eV/atom. The calculation puts the total moment at 0.00 μB per cell. The calculation puts the offset from the most stable computed form at 0 meV/atom. Its total energy is -2.72 eV/atom.

LaTb5Nd | PBE-GGA | optimized geometry

Unit cell a=5.789 b=8.695 c=11.858 alpha=90.00 beta=90.00 gamma=90.00
Space group Immm (No. 71)
Symmetry-distinct sites (fractional):
La1 0.000 0.000 0.000 (multiplicity 2)
Tb1 0.000 0.000 0.251 (multiplicity 4)
Tb2 0.000 0.320 0.500 (multiplicity 4)
Tb3 0.000 0.500 0.000 (multiplicity 2)
Nd1 0.000 0.000 0.500 (multiplicity 2)

The calculation puts the total moment at 0.04 μB per cell. The calculation puts the offset from the most stable computed form at 869 meV/atom. The calculation puts the formation energy at 1.06 eV/atom. Its total energy is -3.64 eV/atom.

Zr3TaC4 | PBE-GGA | optimized geometry

Unit cell a=6.589 b=9.300 c=3.296 alpha=90.00 beta=90.00 gamma=90.00
Space group Cmmm (No. 65)
Symmetry-distinct sites (fractional):
Zr1 0.000 0.000 0.000 (multiplicity 2)
Zr2 0.250 0.250 0.500 (multiplicity 4)
Ta1 0.000 0.500 0.000 (multiplicity 2)
C1 0.000 0.256 0.000 (multiplicity 4)
C2 0.240 0.500 0.500 (multiplicity 4)

The calculation puts the total moment at 0.00 μB per cell. The calculation puts the formation energy at -0.78 eV/atom. Its total energy is -10.08 eV/atom.

VCo4Re | PBE-GGA | optimized geometry

Unit cell a=6.542 b=6.542 c=6.542 alpha=90.00 beta=90.00 gamma=90.00
Space group F-43m (No. 216)
Symmetry-distinct sites (fractional):
V1 0.000 0.000 0.000 (multiplicity 4)
Co1 0.125 0.125 0.625 (multiplicity 16)
Re1 0.250 0.250 0.250 (multiplicity 4)

The calculation puts the total moment at 14.97 μB per cell. The calculation puts the offset from the most stable computed form at 0 meV/atom. The calculation puts the formation energy at 0.02 eV/atom. Its total energy is -8.32 eV/atom.

LiGdZrRe | PBE-GGA | optimized geometry

Unit cell a=6.804 b=6.804 c=6.804 alpha=90.00 beta=90.00 gamma=90.00
Space group F-43m (No. 216)
Symmetry-distinct sites (fractional):
Li1 0.000 0.000 0.000 (multiplicity 4)
Gd1 0.250 0.250 0.250 (multiplicity 4)
Zr1 0.250 0.250 0.750 (multiplicity 4)
Re1 0.000 0.000 0.500 (multiplicity 4)

The calculation puts the total moment at 29.16 μB per cell. The calculation puts the formation energy at 0.00 eV/atom. Its total energy is -9.25 eV/atom.

Rb2InIO6 | PBE-GGA | optimized geometry

Unit cell a=6.1179 b=6.1179 c=29.4530 alpha=90.00 beta=90.00 gamma=120.00
Space group R-3m (No. 166, hexagonal axes)
Symmetry-distinct sites (fractional):
Rb1 0.0000 0.0000 0.1306 (multiplicity 6)
Rb2 0.0000 0.0000 0.2750 (multiplicity 6)
In1 0.0000 0.0000 0.4016 (multiplicity 6)
I1 0.0000 0.0000 0.0000 (multiplicity 3)
I2 0.0000 0.0000 0.5000 (multiplicity 3)
O1 0.0394 0.5197 0.7048 (multiplicity 18)
O2 0.0488 0.5244 0.1265 (multiplicity 18)

For the uncorrected formation energy, the calculation gives -1.0644 eV/atom. The calculation puts the total moment at 0.00 μB per cell. Its total energy is -4.66 eV/atom.

LiHg2Rh | PBE-GGA | optimized geometry

Unit cell a=6.562 b=6.562 c=6.562 alpha=90.00 beta=90.00 gamma=90.00
Space group F-43m (No. 216)
Symmetry-distinct sites (fractional):
Li1 0.000 0.000 0.000 (multiplicity 4)
Hg1 0.000 0.000 0.500 (multiplicity 4)
Hg2 0.250 0.250 0.250 (multiplicity 4)
Rh1 0.250 0.250 0.750 (multiplicity 4)

The calculation puts the total moment at 0.00 μB per cell. The calculation puts the formation energy at 0.01 eV/atom. Its total energy is -2.45 eV/atom.

Eu | PBE-GGA | optimized geometry

Unit cell a=8.249 b=8.249 c=8.249 alpha=90.00 beta=90.00 gamma=90.00
Space group Fd-3m (No. 227, origin choice 2)
Symmetry-distinct sites (fractional):
Eu1 0.125 0.125 0.125 (multiplicity 8)

The calculation puts the total moment at 64.42 μB per cell. The calculation puts the offset from the most stable computed form at 1126 meV/atom. The calculation puts the formation energy at 1.13 eV/atom. Its total energy is -9.15 eV/atom.

Sc3Ti | PBE-GGA | optimized geometry

Unit cell a=7.141 b=7.141 c=7.141 alpha=90.00 beta=90.00 gamma=90.00
Space group Fm-3m (No. 225)
Symmetry-distinct sites (fractional):
Sc1 0.000 0.000 0.000 (multiplicity 4)
Sc2 0.250 0.250 0.250 (multiplicity 8)
Ti1 0.000 0.000 0.500 (multiplicity 4)

The calculation puts the total moment at 14.72 μB per cell. The calculation puts the offset from the most stable computed form at 103 meV/atom. The calculation puts the formation energy at 0.17 eV/atom. Its total energy is -6.55 eV/atom.